No. 1
# CoAgSe PBE-GGA relaxed
# **Energy above the lowest structure with this stoichiometry**: 164 meV/atom
# **M_tot**: 1.23 μB/cell
data_CoAgSe
_symmetry_space_group_name_H-M 'P 3 m 1'
_symmetry_Int_Tables_number 156
_cell_length_a 3.9587
_cell_length_b 3.9587
_cell_length_c 3.8093
_cell_angle_alpha 90.00
_cell_angle_beta 90.00
_cell_angle_gamma 120.00
loop_
_symmetry_equiv_pos_as_xyz
'x,y,z'
'-y,x-y,z'
'-x+y,-x,z'
'-y,-x,z'
'-x+y,y,z'
'x,x-y,z'
loop_
_atom_site_label
_atom_site_fract_x
_atom_site_fract_y
_atom_site_fract_z
_atom_site_occupancy
Co1 0.0000 0.0000 0.0000 1
Ag1 0.3333 0.6667 0.4979 1
Se1 0.6667 0.3333 0.9970 1


No. 2
# NaAc3Ru PBE-GGA relaxed
# **M_tot**: 0.00 μB/cell
# **Formation energy from the elements**: -0.4 eV/f.u.
data_NaAc3Ru
_symmetry_space_group_name_H-M 'P m -3 m'
_symmetry_Int_Tables_number 221
_symmetry_space_group_name_Hall '-P 4 2 3'
_cell_length_a 5.8475
_cell_length_b 5.8475
_cell_length_c 5.8475
_cell_angle_alpha 90.00
_cell_angle_beta 90.00
_cell_angle_gamma 90.00
loop_
_atom_site_label
_atom_site_fract_x
_atom_site_fract_y
_atom_site_fract_z
_atom_site_occupancy
Na1 0.0000 0.0000 0.0000 1
Ac1 0.0000 0.5000 0.5000 1
Ru1 0.5000 0.5000 0.5000 1